Record 1
Computed, not measured: an optimized crystal structure of LiLuCoPb at the PBE level of DFT.

abc: 4.7307 4.7307 4.7307
angles: 60.00 60.00 60.00
Element x y z (fractional)
Co (0.7500, 0.7500, 0.7500)
Li (0.5000, 0.5000, 0.5000)
Lu (0.2500, 0.2500, 0.2500)
Pb (0.0000, 0.0000, 0.0000)

Calculated values
total magnetic moment	0.7	μB/cell
electronic total energy	-4.245	eV/atom
E above lowest polymorph	0.260	eV/atom

Record 2
Computed, not measured: an optimized crystal structure of LiLuCoS3 at the PBE level of DFT.

abc: 7.4027 3.7028 9.0139
angles: 90.00 102.65 90.00
Element x y z (fractional)
Co (0.4205, 0.7500, 0.4111)
Co (0.5795, 0.2500, 0.5889)
Li (0.6711, 0.2500, 0.1423)
Li (0.3289, 0.7500, 0.8577)
Lu (0.1704, 0.2500, 0.1527)
Lu (0.8296, 0.7500, 0.8473)
S (0.9126, 0.7500, 0.1505)
S (0.4278, 0.7500, 0.1586)
S (0.2920, 0.2500, 0.4652)
S (0.7080, 0.7500, 0.5348)
S (0.5722, 0.2500, 0.8414)
S (0.0874, 0.2500, 0.8495)

Calculated values
total magnetic moment	2.6	μB/cell
electronic total energy	-5.582	eV/atom
E above lowest polymorph	0.000	eV/atom

Record 3
Computed, not measured: an optimized crystal structure of LiLuCoS3 at the PBE level of DFT.

abc: 3.6806 6.2817 10.1248
angles: 90.00 90.00 72.96
Element x y z (fractional)
Co (0.5170, 0.9660, 0.2500)
Co (0.4830, 0.0340, 0.7500)
Li (0.2257, 0.5485, 0.2500)
Li (0.7743, 0.4515, 0.7500)
Lu (0.0000, 0.0000, 0.0000)
Lu (0.0000, 0.0000, 0.5000)
S (0.6406, 0.7188, 0.0834)
S (0.9121, 0.1758, 0.2500)
S (0.6406, 0.7188, 0.4166)
S (0.3594, 0.2812, 0.5834)
S (0.0879, 0.8242, 0.7500)
S (0.3594, 0.2812, 0.9166)

Calculated values
total magnetic moment	4.6	μB/cell
electronic total energy	-5.497	eV/atom
E above lowest polymorph	0.085	eV/atom

Record 4
Computed, not measured: an optimized crystal structure of LiLuCoSb at the PBE level of DFT.

abc: 4.7554 4.7554 4.7554
angles: 60.00 60.00 60.00
Element x y z (fractional)
Co (0.5000, 0.5000, 0.5000)
Li (0.7500, 0.7500, 0.7500)
Lu (0.2500, 0.2500, 0.2500)
Sb (0.0000, 0.0000, 0.0000)

Calculated values
total magnetic moment	1.3	μB/cell
electronic total energy	-4.617	eV/atom
E above lowest polymorph	0.316	eV/atom

Record 5
Computed, not measured: an optimized crystal structure of LiLuCoSb at the PBE level of DFT.

abc: 4.5265 4.5265 4.5265
angles: 60.00 60.00 60.00
Element x y z (fractional)
Co (0.7500, 0.7500, 0.7500)
Li (0.2500, 0.2500, 0.2500)
Lu (0.5000, 0.5000, 0.5000)
Sb (0.0000, 0.0000, 0.0000)

Calculated values
total magnetic moment	0.0	μB/cell
electronic total energy	-4.933	eV/atom
E above lowest polymorph	0.000	eV/atom

Record 6
Computed, not measured: an optimized crystal structure of LiLuCoSb at the PBE level of DFT.

abc: 4.6472 4.6472 4.6472
angles: 60.00 60.00 60.00
Element x y z (fractional)
Co (0.7500, 0.7500, 0.7500)
Li (0.5000, 0.5000, 0.5000)
Lu (0.2500, 0.2500, 0.2500)
Sb (0.0000, 0.0000, 0.0000)

Calculated values
total magnetic moment	0.0	μB/cell
electronic total energy	-4.573	eV/atom
E above lowest polymorph	0.360	eV/atom

Record 7
Computed, not measured: an optimized crystal structure of LiLuCoSi at the PBE level of DFT.

abc: 4.3731 4.3731 4.3731
angles: 60.00 60.00 60.00
Element x y z (fractional)
Co (0.7500, 0.7500, 0.7500)
Li (0.5000, 0.5000, 0.5000)
Lu (0.2500, 0.2500, 0.2500)
Si (0.0000, 0.0000, 0.0000)

Calculated values
total magnetic moment	0.1	μB/cell
electronic total energy	-4.977	eV/atom
E above lowest polymorph	0.153	eV/atom

Record 8
Computed, not measured: an optimized crystal structure of LiLuCoSi at the PBE level of DFT.

abc: 4.3079 4.3079 4.3079
angles: 60.00 60.00 60.00
Element x y z (fractional)
Co (0.7500, 0.7500, 0.7500)
Li (0.2500, 0.2500, 0.2500)
Lu (0.5000, 0.5000, 0.5000)
Si (0.0000, 0.0000, 0.0000)

Calculated values
total magnetic moment	0.6	μB/cell
electronic total energy	-5.130	eV/atom
E above lowest polymorph	0.000	eV/atom